Compound: Ce2ZnGaOs
Source: Alexandria
Functional: PBE
Structure: relaxed

Cell: 4.1776 7.4349 7.4140 Å, 107.66 90.00 90.00°
Site moments in Bohr magnetons follow the coordinates.
Element x y z (fractional)
Ce  0.2500  0.1177  0.3538  0.17
Ce  0.7500  0.7086  0.0393  0.03
Ce  0.7500  0.8823  0.6462  0.17
Ce  0.2500  0.2914  0.9607  0.03
Ga  0.7500  0.4604  0.3457  0.00
Ga  0.2500  0.5396  0.6543  0.00
Os  0.7500  0.1299  0.1079  -0.02
Os  0.2500  0.8701  0.8921  -0.02
Zn  0.7500  0.3296  0.6632  0.00
Zn  0.2500  0.6704  0.3368  0.00

DFT formation energy in eV/atom: -0.31